A relaxed AsP2PbCl crystal. Source: Alexandria via LeMat-Bulk, functional PBE.

It has space group P4/mmm (No. 123), with a = 5.493 Å, b = 5.493 Å, c = 5.288 Å, α = 90.00°, β = 90.00° and γ = 90.00°. Symmetry generates all atoms from As at (0.000, 0.000, 0.000), P at (0.000, 0.500, 0.500), Pb at (0.500, 0.500, 0.500) and Cl at (0.500, 0.500, 0.000).

The electronic total energy is -15.6 eV/cell. The total magnetization comes out at 0.11 μB/atom. For the density of states at the Fermi level, the calculation gives 0.54 states/eV/atom. The value obtained for the mass density is 3.95 g/cm³. For the distance to the lowest polymorph of the same formula, the calculation gives 0.562 eV per atom. The uncorrected formation energy comes out at 1.080 eV/atom.

A relaxed Dy4PIrSe2 crystal. Source: Alexandria via LeMat-Bulk, functional PBE.

It has space group P2/m (No. 10), with a = 7.064 Å, b = 4.022 Å, c = 7.166 Å, α = 90.00°, β = 108.61° and γ = 90.00°. Symmetry generates all atoms from Dy at (0.239, 0.000, 0.227), Dy at (0.252, 0.500, 0.774), P at (0.500, 0.000, 0.000), Ir at (0.000, 0.500, 0.000), Se at (0.000, 0.000, 0.500) and Se at (0.500, 0.500, 0.500).

The electronic total energy is -51.5 eV/cell. The total magnetization comes out at 0.00 μB/atom. For the density of states at the Fermi level, the calculation gives 0.69 states/eV/atom. The value obtained for the mass density is 8.87 g/cm³. The uncorrected formation energy comes out at -1.480 eV/atom.